No. 1
{
  "formula": "Na2ZnReO6",
  "functional": "PBE",
  "state": "relaxed",
  "lattice_angstrom": [[2.746, 1.586, 4.619], [-2.746, 1.586, 4.619], [0.000, -3.171, 4.619]],
  "species": ["Na", "Na", "Zn", "Re", "O", "O", "O", "O", "O", "O"],
  "frac_coords": [[0.000, 0.000, 0.000], [0.495, 0.495, 0.495], [0.739, 0.739, 0.739], [0.238, 0.238, 0.238], [0.057, 0.926, 0.450], [0.394, 0.535, 0.984], [0.450, 0.057, 0.926], [0.535, 0.984, 0.394], [0.926, 0.450, 0.057], [0.984, 0.394, 0.535]],
  "formation_energy_uncorrected_ev_per_fu": -14.45
}

***

No. 2
{
  "formula": "NaZn2ReO6",
  "functional": "PBE",
  "state": "relaxed",
  "lattice_angstrom": [[5.181, -5.532, 0.000], [5.181, 5.532, 0.000], [-2.380, 0.000, 6.111]],
  "species": ["Na", "Na", "Zn", "Zn", "Zn", "Zn", "Re", "Re", "O", "O", "O", "O", "O", "O", "O", "O", "O", "O", "O", "O"],
  "frac_coords": [[0.239, 0.761, 0.750], [0.761, 0.239, 0.250], [0.137, 0.143, 0.206], [0.143, 0.137, 0.706], [0.857, 0.863, 0.294], [0.863, 0.857, 0.794], [0.368, 0.632, 0.250], [0.632, 0.368, 0.750], [0.048, 0.191, 0.448], [0.191, 0.048, 0.948], [0.191, 0.640, 0.024], [0.334, 0.418, 0.304], [0.360, 0.809, 0.476], [0.418, 0.334, 0.804], [0.582, 0.666, 0.196], [0.640, 0.191, 0.524], [0.666, 0.582, 0.696], [0.809, 0.360, 0.976], [0.809, 0.952, 0.052], [0.952, 0.809, 0.552]],
  "formation_energy_uncorrected_ev_per_fu": -14.46
}

***

Ordered D(E_F) results: 0.42; 0.00; unit states/eV/atom.
Ordered magnetization results: 1.01; 0.00; unit μB/f.u..